# 1
The following is a PBE calculation of a relaxed structure of CeThAs2, from Alexandria via LeMat-Bulk.

Energy above the most stable polymorph in this dataset in meV/atom: 152

POSCAR file:
```
CeThAs2
1.0
4.131 0.000 0.000
2.066 3.578 0.000
2.066 1.193 7.355
Ce Th As
1 1 2
direct
0.671 0.671 0.988 Ce
0.497 0.497 0.510 Th
0.081 0.081 0.757 As
0.252 0.252 0.245 As
```

# 2
The following is a PBE calculation of a relaxed structure of Ce2ThAs, from Alexandria via LeMat-Bulk.

Energy above the most stable polymorph in this dataset in meV/atom: 0

POSCAR file:
```
Ce2ThAs
1.0
-0.970 -0.224 -3.772
-2.160 -3.162 0.743
-5.594 4.103 1.195
As Ce Th
1 2 1
direct
0.500 0.500 0.000 As
0.000 0.000 0.804 Ce
0.000 0.000 0.196 Ce
0.500 0.500 0.500 Th
```

# 3
The following is a PBE calculation of a relaxed structure of CeTh2As, from Alexandria via LeMat-Bulk.

POSCAR file:
```
CeTh2As
1.0
-3.017 -1.626 -1.690
-1.894 -2.810 1.765
-7.453 5.032 4.146
As Ce Th
1 1 2
direct
0.000 0.000 0.000 As
0.500 0.500 0.500 Ce
0.265 0.265 0.206 Th
0.735 0.735 0.794 Th
```

# 4
The following is a PBE calculation of a relaxed structure of Ce2ThAs, from Alexandria via LeMat-Bulk.

Energy above the most stable polymorph in this dataset in meV/atom: 94

POSCAR file:
```
Ce2ThAs
1.0
-3.713 -0.755 -0.229
-1.197 -3.104 -1.827
-1.130 -6.225 7.372
Ce Th As
2 1 1
direct
0.066 0.066 0.801 Ce
0.267 0.267 0.198 Ce
0.500 0.500 0.501 Th
0.667 0.667 0.000 As
```

# 5
The following is a PBE calculation of a relaxed structure of CeThAs2, from Alexandria via LeMat-Bulk.

Energy above the most stable polymorph in this dataset in meV/atom: 0

POSCAR file:
```
CeThAs2
1.0
-2.821 -4.273 -3.121
-0.464 -3.324 4.969
-3.628 6.377 0.309
Ce Th As
2 2 4
direct
0.750 0.250 0.500 Ce
0.000 0.000 0.000 Ce
0.500 0.500 0.000 Th
0.250 0.750 0.500 Th
0.751 0.751 0.502 As
0.501 0.001 0.002 As
0.249 0.249 0.498 As
0.999 0.499 0.998 As
```

# 6
The following is a PBE calculation of a relaxed structure of Ce3Th5As8, from Alexandria via LeMat-Bulk.

POSCAR file:
```
Ce3Th5As8
1.0
1.311 -5.639 6.207
-2.511 -8.048 -0.978
5.756 -6.150 -0.999
Ce Th As
3 5 8
direct
0.500 0.000 0.500 Ce
0.000 0.000 0.500 Ce
0.000 0.500 0.500 Ce
0.500 0.000 0.000 Th
0.500 0.500 0.000 Th
0.000 0.000 0.000 Th
0.000 0.500 0.000 Th
0.500 0.500 0.500 Th
0.250 0.250 0.748 As
0.250 0.752 0.748 As
0.752 0.250 0.748 As
0.751 0.751 0.748 As
0.750 0.750 0.252 As
0.750 0.248 0.252 As
0.248 0.750 0.252 As
0.249 0.249 0.252 As
```

# 7
The following is a PBE calculation of a relaxed structure of Ce2ThAs, from Alexandria via LeMat-Bulk.

Energy above the most stable polymorph in this dataset in meV/atom: 49

POSCAR file:
```
Ce2ThAs
1.0
3.763 0.000 0.000
1.881 3.259 0.000
1.881 1.086 9.417
As Ce Th
1 2 1
direct
0.000 0.000 0.000 As
0.266 0.266 0.203 Ce
0.734 0.734 0.797 Ce
0.500 0.500 0.500 Th
```

# 8
The following is a PBE calculation of a relaxed structure of CeThAs2, from Alexandria via LeMat-Bulk.

Energy above the most stable polymorph in this dataset in meV/atom: 2

POSCAR file:
```
CeThAs2
1.0
-0.816 -1.952 3.672
-1.014 -4.115 0.033
6.087 -3.667 1.849
As Ce Th
2 1 1
direct
0.751 0.751 0.748 As
0.249 0.249 0.252 As
0.500 0.500 0.500 Ce
0.000 0.000 0.000 Th
```

| no. | energy of formation (eV/atom) |
| --- | --- |
| 1 | -1.2782 |
| 2 | -0.5485 |
| 3 | -0.4033 |
| 4 | -0.4549 |
| 5 | -1.4299 |
| 6 | -1.4230 |
| 7 | -0.4998 |
| 8 | -1.4281 |